No. 1
A plane-wave DFT calculation with GGA-PBE was carried out for crystalline PrInN at its relaxed geometry.

```
PrInN
1.0
3.602 -2.063 0.000
3.602 2.063 0.000
-2.461 0.000 10.199
Pr In N
2 2 2
Cartesian
-0.033 0.000 3.774
4.776 0.000 6.424
-0.049 0.000 9.150
4.792 0.000 1.049
-0.032 0.000 6.162
4.776 0.000 4.037
```

Output
ΔE_f (raw), eV/atom: -0.656
Volume, Å³ per cell: 152
Uncorrected energy, eV/atom: -5.937

No. 2
A plane-wave DFT calculation with GGA-PBE was carried out for crystalline Pr2InN at its relaxed geometry.

```
Pr2InN
1.0
1.808 1.044 9.493
-1.808 1.044 9.493
0.000 -2.087 9.493
Pr In N
2 1 1
Cartesian
0.000 0.000 3.350
0.000 0.000 25.129
0.000 0.000 0.000
0.000 0.000 14.239
```

Output
ΔE_f (raw), eV/atom: -0.598
Volume, Å³ per cell: 107
Uncorrected energy, eV/atom: -5.754

No. 3
A plane-wave DFT calculation with GGA-PBE was carried out for crystalline Pr2InN at its relaxed geometry.

```
Pr2InN
1.0
3.238 0.000 0.000
0.000 3.238 0.000
0.000 0.000 8.370
Pr In N
2 1 1
Cartesian
0.000 0.000 1.511
0.000 0.000 6.859
1.619 1.619 4.185
1.619 1.619 0.000
```

Output
ΔE_f (raw), eV/atom: -0.441
Volume, Å³ per cell: 88
Uncorrected energy, eV/atom: -5.597

No. 4
A plane-wave DFT calculation with GGA-PBE was carried out for crystalline Pr7In2N at its relaxed geometry.

```
Pr7In2N
1.0
0.000 5.325 5.325
5.325 0.000 5.325
5.325 5.325 0.000
Pr In N
7 2 1
Cartesian
0.000 0.000 0.000
5.325 5.325 2.871
5.325 2.871 5.325
7.779 5.325 5.325
2.871 5.325 5.325
5.325 7.779 5.325
5.325 5.325 7.779
2.663 2.663 2.663
7.988 7.988 7.988
5.325 5.325 5.325
```

Output
ΔE_f (raw), eV/atom: -0.054
Volume, Å³ per cell: 302
Uncorrected energy, eV/atom: -4.780

Please write out number 2 again, unchanged.
A plane-wave DFT calculation with GGA-PBE was carried out for crystalline Pr2InN at its relaxed geometry.

```
Pr2InN
1.0
1.808 1.044 9.493
-1.808 1.044 9.493
0.000 -2.087 9.493
Pr In N
2 1 1
Cartesian
0.000 0.000 3.350
0.000 0.000 25.129
0.000 0.000 0.000
0.000 0.000 14.239
```

Output
ΔE_f (raw), eV/atom: -0.598
Volume, Å³ per cell: 107
Uncorrected energy, eV/atom: -5.754

What is the ΔE_f (raw) in the fourth record? -0.054 eV/atom